Pm2Ga3Ag: optimized geometry, GGA-PBE.

## Properties
DFT total energy = -24.91 eV per formula unit
total moment = 0.006 μB per atom

Cell: 9.0298 8.7009 5.9026 Å, 73.60 67.57 38.83°
Positions (direct):
Ag 0.6684 0.6684 0.3316
Ag 0.3316 0.3316 0.6684
Ga 0.8369 0.8369 0.1631
Ga 0.3281 0.8368 0.1632
Ga 0.1632 0.6719 0.3281
Ga 0.8368 0.3281 0.6719
Ga 0.6719 0.1632 0.8368
Ga 0.1631 0.1631 0.8369
Pm 0.2500 0.2500 0.2500
Pm 0.7427 0.2573 0.2573
Pm 0.2573 0.7427 0.7427
Pm 0.7500 0.7500 0.7500

=====

KHoTc: optimized geometry, GGA-PBE.

## Properties
DFT total energy = -11.18 eV per formula unit
energy above the most stable polymorph in this dataset = 0.000 eV/atom
total moment = 0.431 μB per atom

Cell: 5.0161 5.0161 5.0161 Å, 60.00 60.00 60.00°
Positions (direct):
Ho 0.0000 0.0000 0.0000
K 0.7500 0.7500 0.7500
Tc 0.2500 0.2500 0.2500

=====

PmP: optimized geometry, GGA-PBE.

## Properties
DFT total energy = -12.65 eV per formula unit
energy above the most stable polymorph in this dataset = 0.318 eV/atom
total moment = 0.000 μB per atom

Cell: 4.0126 4.0126 3.6625 Å, 90.00 90.00 120.00°
Positions (direct):
P 0.6667 0.3333 0.7500
Pm 0.3333 0.6667 0.2500

=====

NaTaGaIr: optimized geometry, GGA-PBE.

## Properties
DFT total energy = -24.83 eV per formula unit
energy above the most stable polymorph in this dataset = 0.183 eV/atom
total moment = 0.000 μB per atom

Cell: 4.5337 4.5337 4.5337 Å, 60.00 60.00 60.00°
Positions (direct):
Ga 0.5000 0.5000 0.5000
Ir 0.0000 0.0000 0.0000
Na 0.7500 0.7500 0.7500
Ta 0.2500 0.2500 0.2500

=====

TaTlP2O8: optimized geometry, GGA-PBE.

## Properties
DFT total energy = -91.76 eV per formula unit
energy above the most stable polymorph in this dataset = 0.030 eV/atom
total moment = 0.000 μB per atom

Cell: 5.2051 5.2051 7.3779 Å, 90.00 90.00 120.00°
Positions (direct):
O 0.1793 0.3505 0.1566
O 0.1712 0.8207 0.1566
O 0.6495 0.8288 0.1566
O 0.3333 0.6667 0.4435
O 0.6667 0.3333 0.5565
O 0.8207 0.1712 0.8434
O 0.3505 0.1793 0.8434
O 0.8288 0.6495 0.8434
P 0.3333 0.6667 0.2423
P 0.6667 0.3333 0.7577
Ta 0.0000 0.0000 0.0000
Tl 0.0000 0.0000 0.5000

=====

HoMgTl: optimized geometry, GGA-PBE.

## Properties
DFT total energy = -9.43 eV per formula unit
total moment = 0.000 μB per atom

Cell: 7.5012 7.5012 4.6497 Å, 90.00 90.00 120.00°
Positions (direct):
Ho 0.5680 0.0000 0.0000
Ho 0.4320 0.4320 0.0000
Ho 0.0000 0.5680 0.0000
Mg 0.2427 0.0000 0.5000
Mg 0.0000 0.2427 0.5000
Mg 0.7573 0.7573 0.5000
Tl 0.0000 0.0000 0.0000
Tl 0.6667 0.3333 0.5000
Tl 0.3333 0.6667 0.5000

=====

LiSnBiOs: optimized geometry, GGA-PBE.

## Properties
DFT total energy = -20.55 eV per formula unit
energy above the most stable polymorph in this dataset = 0.000 eV/atom
total moment = 0.001 μB per atom

Cell: 4.7515 4.7515 4.7515 Å, 60.00 60.00 60.00°
Positions (direct):
Bi 0.0000 0.0000 0.0000
Li 0.7500 0.7500 0.7500
Os 0.2500 0.2500 0.2500
Sn 0.5000 0.5000 0.5000

=====

PmInSb: optimized geometry, GGA-PBE.

## Properties
DFT total energy = -12.38 eV per formula unit
energy above the most stable polymorph in this dataset = 0.027 eV/atom
total moment = 0.007 μB per atom

Cell: 5.2291 5.2291 5.2291 Å, 60.00 60.00 60.00°
Positions (direct):
In 0.2500 0.2500 0.2500
Pm 0.7500 0.7500 0.7500
Sb 0.0000 0.0000 0.0000

=====

Pr5Si2Sb: optimized geometry, GGA-PBE.

## Properties
DFT total energy = -44.54 eV per formula unit
total moment = 0.250 μB per atom

Cell: 9.1789 9.1789 9.1789 Å, 128.43 128.43 75.93°
Last column: magnetic moment on the atom in μB.
Positions (direct):
Pr 0.0000 0.0000 0.0000  0.37
Pr 0.5000 0.5000 0.0000  0.37
Pr 0.1884 0.6884 0.1557  0.15
Pr 0.4674 0.9674 0.1557  0.15
Pr 0.0326 0.1884 0.5000  0.16
Pr 0.3116 0.4674 0.5000  0.15
Pr 0.6884 0.5326 0.5000  0.15
Pr 0.9674 0.8116 0.5000  0.16
Pr 0.5326 0.0326 0.8443  0.15
Pr 0.8116 0.3116 0.8443  0.15
Sb 0.2500 0.2500 0.0000  -0.01
Sb 0.7500 0.7500 0.0000  -0.01
Si 0.8814 0.3814 0.2629  -0.02
Si 0.3814 0.1186 0.5000  -0.02
Si 0.6186 0.8814 0.5000  -0.02
Si 0.1186 0.6186 0.7371  -0.02

=====

Sm2AgPd2: optimized geometry, GGA-PBE.

## Properties
DFT total energy = -26.16 eV per formula unit
formation energy = -0.712 eV/atom
total moment = 0.001 μB per atom

Cell: 7.7164 7.7164 3.8081 Å, 90.00 90.00 90.00°
Positions (direct):
Ag 0.0000 0.0000 0.0000
Ag 0.5000 0.5000 0.0000
Pd 0.6291 0.1291 0.0000
Pd 0.1291 0.3709 0.0000
Pd 0.8709 0.6291 0.0000
Pd 0.3709 0.8709 0.0000
Sm 0.3276 0.1724 0.5000
Sm 0.8276 0.3276 0.5000
Sm 0.1724 0.6724 0.5000
Sm 0.6724 0.8276 0.5000